Sc3P | SCAN | PBEsol geometry

a = 4.939 Å, b = 4.939 Å, c = 4.939 Å
α = 90.00°, β = 90.00°, γ = 90.00°
Last column: magnetic moment on the atom in μB.
Fractional coordinates of all 4 atoms:
P 0.000 0.000 0.000  -0.06
Sc 0.500 0.000 0.000  0.66
Sc 0.000 0.500 0.000  0.66
Sc 0.000 0.000 0.500  0.66

Values from the calculation:
**V**: 30.12 Å³ per atom
**Energy above the lowest structure with this stoichiometry**: 813 meV/atom
**Symmetry**: No. 221
**Formation energy**: -0.076 eV per atom
**D(E_F)**: 3.233 states/eV/f.u.

***

Sc2P | SCAN | PBEsol geometry

a = 3.583 Å, b = 5.378 Å, c = 6.659 Å
α = 113.82°, β = 105.61°, γ = 90.00°
Fractional coordinates of all 6 atoms:
Sc 0.000 0.739 0.000
Sc 0.300 0.800 0.600
Sc 0.000 0.261 0.000
Sc 0.700 0.200 0.400
P 0.642 0.642 0.283
P 0.358 0.358 0.717

Values from the calculation:
**V**: 18.70 Å³ per atom
**Symmetry**: No. 71
**Formation energy**: -1.081 eV per atom
**D(E_F)**: 1.775 states/eV/f.u.

***

Sc2P | SCAN | PBEsol geometry

a = 2.813 Å, b = 4.511 Å, c = 4.511 Å
α = 120.00°, β = 90.00°, γ = 90.00°
Fractional coordinates of all 3 atoms:
P 0.500 0.000 0.000
Sc 0.000 0.333 0.667
Sc 0.000 0.667 0.333

Values from the calculation:
**V**: 16.52 Å³ per atom
**Symmetry**: No. 191
**Formation energy**: 0.048 eV per atom
**D(E_F)**: 3.267 states/eV/f.u.

***

ScP4 | SCAN | PBEsol geometry

a = 3.345 Å, b = 3.345 Å, c = 8.766 Å
α = 101.00°, β = 101.00°, γ = 90.00°
Fractional coordinates of all 5 atoms:
P 0.750 0.250 0.500
P 0.250 0.750 0.500
P 0.566 0.566 0.132
P 0.434 0.434 0.868
Sc 0.000 0.000 0.000

Values from the calculation:
**V**: 18.89 Å³ per atom
**Symmetry**: No. 139
**Formation energy**: -0.126 eV per atom
**D(E_F)**: 2.723 states/eV/f.u.

***

ScP2 | SCAN | PBEsol geometry

a = 3.577 Å, b = 3.695 Å, c = 7.329 Å
α = 90.00°, β = 104.13°, γ = 90.00°
Fractional coordinates of all 6 atoms:
P 0.750 0.750 0.501
P 0.453 0.750 0.906
P 0.250 0.250 0.499
P 0.547 0.250 0.094
Sc 0.107 0.750 0.214
Sc 0.893 0.250 0.786

Values from the calculation:
**V**: 15.66 Å³ per atom
**Symmetry**: No. 63
**Formation energy**: -0.852 eV per atom
**D(E_F)**: 1.113 states/eV/f.u.

***

Sc2PSe | SCAN | PBEsol geometry

a = 3.312 Å, b = 3.401 Å, c = 6.631 Å
α = 90.00°, β = 101.59°, γ = 90.00°
Fractional coordinates of all 4 atoms:
P 0.500 0.500 0.500
Sc 0.932 0.000 0.735
Sc 0.068 0.000 0.265
Se 0.500 0.500 0.000

Values from the calculation:
**V**: 18.29 Å³ per atom
**Energy above the lowest structure with this stoichiometry**: 514 meV/atom
**Energy relative to the elements, uncorrected**: -1.311 eV per atom
**Symmetry**: No. 10
**D(E_F)**: 1.861 states/eV/f.u.

***

Sc2PSe | SCAN | PBEsol geometry

a = 3.690 Å, b = 3.690 Å, c = 6.811 Å
α = 74.28°, β = 74.28°, γ = 60.00°
Fractional coordinates of all 4 atoms:
Sc 0.926 0.926 0.223
Sc 0.741 0.741 0.776
P 0.332 0.332 0.005
Se 0.501 0.501 0.496

Values from the calculation:
**V**: 19.07 Å³ per atom
**Energy above the lowest structure with this stoichiometry**: 70 meV/atom
**Energy relative to the elements, uncorrected**: -1.754 eV per atom
**Symmetry**: No. 160
**D(E_F)**: 1.864 states/eV/f.u.

***

ScPSe2 | SCAN | PBEsol geometry

a = 3.357 Å, b = 3.357 Å, c = 6.398 Å
α = 90.00°, β = 90.00°, γ = 90.00°
Fractional coordinates of all 4 atoms:
P 0.500 0.500 0.000
Sc 0.500 0.500 0.500
Se 0.000 0.000 0.727
Se 0.000 0.000 0.273

Values from the calculation:
**V**: 18.03 Å³ per atom
**Energy relative to the elements, uncorrected**: -0.409 eV per atom
**Symmetry**: No. 123
**D(E_F)**: 1.952 states/eV/f.u.

***

ScPSe2 | SCAN | PBEsol geometry

a = 3.681 Å, b = 3.951 Å, c = 6.792 Å
α = 106.91°, β = 105.71°, γ = 90.00°
Fractional coordinates of all 4 atoms:
P 0.500 0.000 0.000
Sc 0.000 0.500 0.000
Se 0.852 0.852 0.703
Se 0.148 0.148 0.297

Values from the calculation:
**V**: 22.66 Å³ per atom
**Energy relative to the elements, uncorrected**: -0.851 eV per atom
**Symmetry**: No. 71
**D(E_F)**: 0.164 states/eV/f.u.

***

Sc2PSe | SCAN | PBEsol geometry

a = 3.743 Å, b = 3.743 Å, c = 6.594 Å
α = 73.51°, β = 73.51°, γ = 60.00°
Fractional coordinates of all 4 atoms:
Sc 0.258 0.258 0.227
Sc 0.742 0.742 0.773
P 0.000 0.000 0.000
Se 0.500 0.500 0.500

Values from the calculation:
**V**: 18.90 Å³ per atom
**Energy above the lowest structure with this stoichiometry**: 0 meV/atom
**Energy relative to the elements, uncorrected**: -1.824 eV per atom
**Symmetry**: No. 166
**D(E_F)**: 1.386 states/eV/f.u.

***

ScP2Se | SCAN | PBEsol geometry

a = 3.421 Å, b = 3.742 Å, c = 5.725 Å
α = 105.85°, β = 90.00°, γ = 90.00°
Fractional coordinates of all 4 atoms:
P 0.000 0.927 0.297
P 0.000 0.073 0.703
Sc 0.500 0.500 0.500
Se 0.500 0.500 0.000

Values from the calculation:
**V**: 17.63 Å³ per atom
**Energy relative to the elements, uncorrected**: -0.519 eV per atom
**Symmetry**: No. 10
**D(E_F)**: 1.662 states/eV/f.u.

***

ScP2Se | SCAN | PBEsol geometry

a = 3.765 Å, b = 3.781 Å, c = 5.235 Å
α = 90.00°, β = 111.07°, γ = 90.00°
Fractional coordinates of all 4 atoms:
P 0.033 0.000 0.067
P 0.255 0.000 0.511
Sc 0.460 0.500 0.921
Se 0.751 0.500 0.502

Values from the calculation:
**V**: 17.38 Å³ per atom
**Energy relative to the elements, uncorrected**: -0.748 eV per atom
**Symmetry**: No. 38
**D(E_F)**: 0.765 states/eV/f.u.

***

Sc2PSe | SCAN | PBEsol geometry

a = 3.761 Å, b = 3.761 Å, c = 5.304 Å
α = 90.00°, β = 90.00°, γ = 90.00°
Fractional coordinates of all 4 atoms:
Sc 0.000 0.000 0.000
Sc 0.500 0.500 0.500
P 0.000 0.000 0.500
Se 0.500 0.500 0.000

Values from the calculation:
**V**: 18.76 Å³ per atom
**Energy above the lowest structure with this stoichiometry**: 52 meV/atom
**Energy relative to the elements, uncorrected**: -1.772 eV per atom
**Symmetry**: No. 123
**D(E_F)**: 1.407 states/eV/f.u.

***

ScPSe2 | SCAN | PBEsol geometry

a = 3.439 Å, b = 3.439 Å, c = 6.365 Å
α = 90.00°, β = 90.00°, γ = 90.00°
Fractional coordinates of all 4 atoms:
P 0.000 0.000 0.540
Sc 0.500 0.500 0.732
Se 0.000 0.000 0.935
Se 0.500 0.500 0.293

Values from the calculation:
**V**: 18.81 Å³ per atom
**Energy relative to the elements, uncorrected**: -0.552 eV per atom
**Symmetry**: No. 99
**D(E_F)**: 2.332 states/eV/f.u.

***

Sc2Si2P | SCAN | PBEsol geometry

a = 3.900 Å, b = 6.835 Å, c = 6.835 Å
α = 90.00°, β = 90.00°, γ = 90.00°
Fractional coordinates of all 10 atoms:
Sc 0.000 0.321 0.821
Sc 0.000 0.821 0.679
Sc 0.000 0.679 0.179
Sc 0.000 0.179 0.321
P 0.000 0.000 0.000
P 0.000 0.500 0.500
Si 0.500 0.119 0.619
Si 0.500 0.619 0.881
Si 0.500 0.881 0.381
Si 0.500 0.381 0.119

Values from the calculation:
**V**: 18.22 Å³ per atom
**Energy relative to the elements, uncorrected**: -0.616 eV per atom
**Symmetry**: No. 127
**D(E_F)**: 1.848 states/eV/f.u.

***

ScSi2P | SCAN | PBEsol geometry

a = 3.681 Å, b = 3.681 Å, c = 5.497 Å
α = 109.41°, β = 109.41°, γ = 90.42°
Fractional coordinates of all 4 atoms:
Sc 0.500 0.500 0.000
P 0.000 0.000 0.000
Si 0.000 0.000 0.500
Si 0.500 0.500 0.500

Values from the calculation:
**V**: 16.42 Å³ per atom
**Energy relative to the elements, uncorrected**: -0.291 eV per atom
**Symmetry**: No. 69
**D(E_F)**: 1.706 states/eV/f.u.

***

ScSi2P | SCAN | PBEsol geometry

a = 3.392 Å, b = 3.392 Å, c = 5.394 Å
α = 90.00°, β = 90.00°, γ = 90.00°
Fractional coordinates of all 4 atoms:
Sc 0.500 0.500 0.500
P 0.500 0.500 0.000
Si 0.000 0.000 0.781
Si 0.000 0.000 0.219

Values from the calculation:
**V**: 15.51 Å³ per atom
**Energy relative to the elements, uncorrected**: -0.122 eV per atom
**Symmetry**: No. 123
**D(E_F)**: 1.687 states/eV/f.u.

***

SrSc2P | SCAN | PBEsol geometry

a = 4.285 Å, b = 4.285 Å, c = 5.888 Å
α = 111.34°, β = 111.34°, γ = 90.00°
Fractional coordinates of all 4 atoms:
P 0.000 0.000 0.000
Sc 0.750 0.250 0.500
Sc 0.250 0.750 0.500
Sr 0.500 0.500 0.000

Values from the calculation:
**V**: 23.17 Å³ per atom
**Symmetry**: No. 139
**Formation energy**: -0.128 eV per atom
**D(E_F)**: 3.579 states/eV/f.u.

***

SrScP2 | SCAN | PBEsol geometry

a = 4.009 Å, b = 4.009 Å, c = 5.613 Å
α = 90.00°, β = 90.00°, γ = 90.00°
Fractional coordinates of all 4 atoms:
P 0.000 0.000 0.875
P 0.500 0.500 0.375
Sc 0.000 0.000 0.375
Sr 0.500 0.500 0.875

Values from the calculation:
**V**: 22.56 Å³ per atom
**Energy above the lowest structure with this stoichiometry**: 231 meV/atom
**Symmetry**: No. 123
**Formation energy**: -1.003 eV per atom
**D(E_F)**: 2.721 states/eV/f.u.

***

SrSc2P | SCAN | PBEsol geometry

a = 3.461 Å, b = 3.928 Å, c = 8.169 Å
α = 103.91°, β = 102.23°, γ = 90.00°
Last column: magnetic moment on the atom in μB.
Fractional coordinates of all 4 atoms:
P 0.263 0.763 0.525  -0.03
Sc 0.904 0.904 0.808  0.41
Sc 0.757 0.257 0.514  0.42
Sr 0.576 0.576 0.152  0.03

Values from the calculation:
**V**: 26.31 Å³ per atom
**Symmetry**: No. 44
**Formation energy**: -0.508 eV per atom
**D(E_F)**: 3.094 states/eV/f.u.

***

SrSc2P | SCAN | PBEsol geometry

a = 3.724 Å, b = 3.724 Å, c = 9.381 Å
α = 78.55°, β = 78.55°, γ = 60.00°
Fractional coordinates of all 4 atoms:
P 0.000 0.000 0.000
Sc 0.283 0.283 0.151
Sc 0.717 0.717 0.849
Sr 0.500 0.500 0.500

Values from the calculation:
**V**: 27.42 Å³ per atom
**Symmetry**: No. 166
**Formation energy**: -0.663 eV per atom
**D(E_F)**: 3.535 states/eV/f.u.

***

SrSc2P | SCAN | PBEsol geometry

a = 4.008 Å, b = 4.179 Å, c = 6.561 Å
α = 90.00°, β = 107.71°, γ = 90.00°
Last column: magnetic moment on the atom in μB.
Fractional coordinates of all 4 atoms:
P 0.709 0.500 0.793  -0.01
Sc 0.824 0.000 0.023  0.13
Sc 0.366 0.500 0.107  0.15
Sr 0.101 0.000 0.576  0.00

Values from the calculation:
**V**: 26.17 Å³ per atom
**Symmetry**: No. 6
**Formation energy**: -0.591 eV per atom
**D(E_F)**: 3.263 states/eV/f.u.

***

SrScP2 | SCAN | PBEsol geometry

a = 2.978 Å, b = 5.168 Å, c = 5.168 Å
α = 90.03°, β = 90.26°, γ = 90.26°
Last column: magnetic moment on the atom in μB.
Fractional coordinates of all 4 atoms:
P 0.000 0.500 0.000  -0.02
P 0.000 0.000 0.500  -0.02
Sc 0.500 0.000 0.000  0.19
Sr 0.500 0.500 0.500  0.00

Values from the calculation:
**V**: 19.89 Å³ per atom
**Energy above the lowest structure with this stoichiometry**: 426 meV/atom
**Symmetry**: No. 12
**Formation energy**: -0.808 eV per atom
**D(E_F)**: 0.845 states/eV/f.u.

***

SrSc2P | SCAN | PBEsol geometry

a = 3.744 Å, b = 3.744 Å, c = 9.361 Å
α = 78.46°, β = 78.46°, γ = 60.00°
Last column: magnetic moment on the atom in μB.
Fractional coordinates of all 4 atoms:
P 0.262 0.262 0.214  -0.02
Sc 0.977 0.977 0.068  0.20
Sc 0.738 0.738 0.785  0.40
Sr 0.522 0.522 0.433  0.00

Values from the calculation:
**V**: 27.64 Å³ per atom
**Symmetry**: No. 160
**Formation energy**: -0.484 eV per atom
**D(E_F)**: 3.995 states/eV/f.u.

***

SrScP | SCAN | PBEsol geometry

a = 4.861 Å, b = 4.861 Å, c = 4.861 Å
α = 60.00°, β = 60.00°, γ = 60.00°
Last column: magnetic moment on the atom in μB.
Fractional coordinates of all 3 atoms:
P 0.000 0.000 0.000  -0.07
Sc 0.500 0.500 0.500  1.15
Sr 0.250 0.250 0.250  0.22

Values from the calculation:
**V**: 27.07 Å³ per atom
**Energy above the lowest structure with this stoichiometry**: 1099 meV/atom
**Symmetry**: No. 216
**Formation energy**: 0.417 eV per atom
**D(E_F)**: 5.057 states/eV/f.u.

***

SrScP2 | SCAN | PBEsol geometry

a = 3.970 Å, b = 3.970 Å, c = 7.014 Å
α = 73.56°, β = 73.56°, γ = 60.00°
Fractional coordinates of all 4 atoms:
P 0.766 0.766 0.703
P 0.234 0.234 0.297
Sc 0.500 0.500 0.500
Sr 0.000 0.000 0.000

Values from the calculation:
**V**: 22.62 Å³ per atom
**Energy above the lowest structure with this stoichiometry**: 0 meV/atom
**Symmetry**: No. 166
**Formation energy**: -1.234 eV per atom
**D(E_F)**: 2.562 states/eV/f.u.

***

SrScP | SCAN | PBEsol geometry

a = 4.701 Å, b = 4.701 Å, c = 4.701 Å
α = 60.00°, β = 60.00°, γ = 60.00°
Fractional coordinates of all 3 atoms:
P 0.250 0.250 0.250
Sc 0.000 0.000 0.000
Sr 0.500 0.500 0.500

Values from the calculation:
**V**: 24.48 Å³ per atom
**Energy above the lowest structure with this stoichiometry**: 0 meV/atom
**Symmetry**: No. 216
**Formation energy**: -0.682 eV per atom
**D(E_F)**: 2.368 states/eV/f.u.

***

ScTaP2 | SCAN | PBEsol geometry

a = 3.137 Å, b = 4.435 Å, c = 4.435 Å
α = 90.00°, β = 90.00°, γ = 90.00°
Fractional coordinates of all 4 atoms:
P 0.000 0.000 0.500
P 0.000 0.500 0.000
Sc 0.500 0.500 0.500
Ta 0.500 0.000 0.000

Values from the calculation:
**V**: 15.42 Å³ per atom
**Energy above the lowest structure with this stoichiometry**: 78 meV/atom
**Symmetry**: No. 123
**Formation energy**: -0.597 eV per atom
**D(E_F)**: 3.069 states/eV/f.u.

***

Sc2TaP | SCAN | PBEsol geometry

a = 3.257 Å, b = 4.750 Å, c = 5.638 Å
α = 114.65°, β = 106.79°, γ = 90.00°
Fractional coordinates of all 4 atoms:
P 0.243 0.744 0.487
Sc 0.947 0.946 0.893
Sc 0.752 0.252 0.503
Ta 0.558 0.558 0.117

Values from the calculation:
**V**: 18.79 Å³ per atom
**Symmetry**: No. 8
**Formation energy**: -0.400 eV per atom
**D(E_F)**: 3.523 states/eV/f.u.

***

Sc2TaP | SCAN | PBEsol geometry

a = 3.258 Å, b = 3.258 Å, c = 7.115 Å
α = 90.00°, β = 90.00°, γ = 90.00°
Last column: magnetic moment on the atom in μB.
Fractional coordinates of all 4 atoms:
P 0.500 0.500 0.709  0.01
Sc 0.000 0.000 0.949  0.55
Sc 0.500 0.500 0.287  0.28
Ta 0.000 0.000 0.555  0.05

Values from the calculation:
**V**: 18.88 Å³ per atom
**Symmetry**: No. 99
**Formation energy**: -0.460 eV per atom
**D(E_F)**: 1.930 states/eV/f.u.